! MgCuHgB, relaxed, DFT PBE; values from VASP
&SYSTEM
  ibrav = 0, nat = 4, ntyp = 4
/
ATOMIC_SPECIES
Mg 24.30 Mg.upf
Hg 200.59 Hg.upf
Cu 63.55 Cu.upf
B 10.81 B.upf
ATOMIC_POSITIONS crystal
Mg 0.250 0.250 0.250
Hg 0.500 0.500 0.500
Cu 0.750 0.750 0.750
B 0.000 0.000 0.000
CELL_PARAMETERS angstrom
0.000 3.110 3.110
3.110 0.000 3.110
3.110 3.110 0.000
! Total DFT energy (no corrections) (eV per cell): -9.5
! Offset from the most stable computed form (eV per atom): 0.000
! Calculated density (kg/m³): 8263
! Space group: F-43m (216)

! PrGd, relaxed, DFT PBE; values from VASP
&SYSTEM
  ibrav = 0, nat = 2, ntyp = 2
/
ATOMIC_SPECIES
Gd 157.25 Gd.upf
Pr 140.91 Pr.upf
ATOMIC_POSITIONS crystal
Gd 0.000 0.000 0.000
Pr 0.250 0.250 0.250
CELL_PARAMETERS angstrom
0.000 3.401 3.401
3.401 0.000 3.401
3.401 3.401 0.000
! Total DFT energy (no corrections) (eV per cell): -6.1
! Offset from the most stable computed form (eV per atom): 1.648
! DFT formation energy (eV per atom): 1.68
! Calculated density (kg/m³): 6294
! Space group: F-43m (216)

! CoNiHgGe, relaxed, DFT PBE; values from VASP
&SYSTEM
  ibrav = 0, nat = 4, ntyp = 4
/
ATOMIC_SPECIES
Ni 58.69 Ni.upf
Co 58.93 Co.upf
Ge 72.64 Ge.upf
Hg 200.59 Hg.upf
ATOMIC_POSITIONS crystal
Ni 0.250 0.250 0.250
Co 0.750 0.750 0.750
Ge 0.000 0.000 0.000
Hg 0.500 0.500 0.500
CELL_PARAMETERS angstrom
4.037 -1.470 -0.589
1.343 -3.550 2.097
0.668 -3.686 -2.184
! Total DFT energy (no corrections) (eV per cell): -16.7
! Offset from the most stable computed form (eV per atom): 0.000
! Calculated density (kg/m³): 11257
! Space group: F-43m (216)

What is the total DFT energy (no corrections) in the second record? -6.1 eV per cell